Entry 1:
DFT (PBE-GGA) results for a geometry-optimized Mn2FeHg structure.

Summary:
Energy of formation from the pure elements, eV/atom: 0.298

Unit cell a=3.004 b=3.004 c=6.485 alpha=90.00 beta=90.00 gamma=90.00
Fractional coordinates of all 4 atoms:
Fe 0.500 0.500 0.250
Hg 0.500 0.500 0.750
Mn 0.000 0.000 0.045
Mn 0.000 0.000 0.455

Entry 2:
DFT (PBE-GGA) results for a geometry-optimized MnFeHg structure.

Summary:
Energy above the lowest structure with this stoichiometry, kJ/mol of atoms: 0.0
Energy of formation from the pure elements, eV/atom: 0.401

Unit cell a=5.278 b=5.278 c=3.045 alpha=73.23 beta=73.23 gamma=33.54
Fractional coordinates of all 3 atoms:
Fe 0.974 0.974 0.026
Hg 0.666 0.666 0.334
Mn 0.361 0.361 0.639

Entry 3:
DFT (PBE-GGA) results for a geometry-optimized MnFeHg structure.

Summary:
Energy above the lowest structure with this stoichiometry, kJ/mol of atoms: 5.5
Energy of formation from the pure elements, eV/atom: 0.458

Unit cell a=2.924 b=2.924 c=6.635 alpha=90.00 beta=90.00 gamma=120.00
Fractional coordinates of all 3 atoms:
Fe 0.000 0.000 0.982
Hg 0.667 0.333 0.330
Mn 0.333 0.667 0.688

Entry 4:
DFT (PBE-GGA) results for a geometry-optimized Mn2FeHg structure.

Summary:
Energy of formation from the pure elements, eV/atom: 0.402

Unit cell a=4.904 b=4.904 c=4.904 alpha=133.59 beta=133.59 gamma=67.72
Fractional coordinates of all 4 atoms:
Fe 0.500 0.500 0.000
Hg 0.250 0.750 0.500
Mn 0.000 0.000 0.000
Mn 0.750 0.250 0.500

Entry 5:
DFT (PBE-GGA) results for a geometry-optimized Mn3FeHg structure.

Summary:
Energy above the lowest structure with this stoichiometry, kJ/mol of atoms: 0.0
Energy of formation from the pure elements, eV/atom: 0.921

Unit cell a=4.387 b=4.387 c=4.387 alpha=90.00 beta=90.00 gamma=90.00
Fractional coordinates of all 5 atoms:
Mn 0.000 0.500 0.000
Mn 0.000 0.000 0.500
Mn 0.500 0.000 0.000
Hg 0.500 0.500 0.500
Fe 0.000 0.000 0.000

Entry 6:
DFT (PBE-GGA) results for a geometry-optimized MnFeHg structure.

Summary:
Energy above the lowest structure with this stoichiometry, kJ/mol of atoms: 38.4
Energy of formation from the pure elements, eV/atom: 0.799

Unit cell a=4.284 b=4.284 c=4.284 alpha=60.00 beta=60.00 gamma=60.00
Fractional coordinates of all 3 atoms:
Fe 0.750 0.750 0.750
Hg 0.000 0.000 0.000
Mn 0.500 0.500 0.500

Entry 7:
DFT (PBE-GGA) results for a geometry-optimized Mn2FeHg structure.

Summary:
Energy of formation from the pure elements, eV/atom: 0.503

Unit cell a=4.408 b=4.408 c=4.408 alpha=60.00 beta=60.00 gamma=60.00
Fractional coordinates of all 4 atoms:
Fe 0.500 0.500 0.500
Hg 0.750 0.750 0.750
Mn 0.000 0.000 0.000
Mn 0.250 0.250 0.250

Entry 8:
DFT (PBE-GGA) results for a geometry-optimized Mn2FeHg structure.

Summary:
Energy of formation from the pure elements, eV/atom: 0.393

Unit cell a=3.990 b=3.990 c=3.838 alpha=90.00 beta=90.00 gamma=90.00
Fractional coordinates of all 4 atoms:
Fe 0.500 0.000 0.500
Hg 0.000 0.500 0.500
Mn 0.000 0.000 0.000
Mn 0.500 0.500 0.000

Number 1: magnetization 7.77 μB/f.u., raw total energy -6.478 eV per atom. Number 2: magnetization 4.38 μB/f.u., raw total energy -5.577 eV per atom. Number 3: magnetization 6.35 μB/f.u., raw total energy -5.520 eV per atom. Number 4: magnetization 9.60 μB/f.u., raw total energy -6.374 eV per atom. Number 5: magnetization 8.63 μB/f.u., raw total energy -6.334 eV per atom. Number 6: magnetization 6.25 μB/f.u., raw total energy -5.179 eV per atom. Number 7: magnetization 9.39 μB/f.u., raw total energy -6.272 eV per atom. Number 8: magnetization 9.64 μB/f.u., raw total energy -6.383 eV per atom.